Below is a relaxed LaHf3Cr crystal, with properties calculated at the PBE level.

Structure (CIF):
```
data_LaHf3Cr
_chemical_formula_sum 'La1 Hf3 Cr1'
_symmetry_space_group_name_H-M 'P 1'
_symmetry_Int_Tables_number 1
_symmetry_space_group_name_Hall 'P 1'
_cell_length_a 5.079
_cell_length_b 5.079
_cell_length_c 5.079
_cell_angle_alpha 90.00
_cell_angle_beta 90.00
_cell_angle_gamma 90.00
loop_
_atom_site_label
_atom_site_type_symbol
_atom_site_fract_x
_atom_site_fract_y
_atom_site_fract_z
Cr1 Cr 0.500 0.500 0.500
Hf1 Hf 0.500 0.000 0.000
Hf2 Hf 0.000 0.000 0.500
Hf3 Hf 0.000 0.500 0.000
La1 La 0.000 0.000 0.000
```

Computed properties:
- Formation energy: 2.134 eV per atom
- Crystal system: cubic
- Magnetic moment: 0.1327 μB/atom
- Energy relative to the lowest polymorph listed for this composition: 1731 meV per atom
- Energy: -6.75 eV per atom

***

Below is a relaxed Nd12TlNi6 crystal, with properties calculated at the PBE level.

Structure (CIF):
```
data_Nd12TlNi6
_chemical_formula_sum 'Nd12 Tl1 Ni6'
_symmetry_space_group_name_H-M 'P 1'
_symmetry_Int_Tables_number 1
_symmetry_space_group_name_Hall 'P 1'
_cell_length_a 8.719
_cell_length_b 8.719
_cell_length_c 8.719
_cell_angle_alpha 109.47
_cell_angle_beta 109.47
_cell_angle_gamma 109.47
loop_
_atom_site_label
_atom_site_type_symbol
_atom_site_fract_x
_atom_site_fract_y
_atom_site_fract_z
Nd1 Nd 0.693 0.507 0.814
Nd2 Nd 0.814 0.307 0.120
Nd3 Nd 0.880 0.186 0.693
Nd4 Nd 0.307 0.120 0.814
Nd5 Nd 0.120 0.814 0.307
Nd6 Nd 0.186 0.307 0.493
Nd7 Nd 0.307 0.493 0.186
Nd8 Nd 0.186 0.693 0.880
Nd9 Nd 0.493 0.186 0.307
Nd10 Nd 0.507 0.814 0.693
Nd11 Nd 0.693 0.880 0.186
Nd12 Nd 0.814 0.693 0.507
Ni1 Ni 0.500 0.879 0.379
Ni2 Ni 0.121 0.621 0.500
Ni3 Ni 0.621 0.500 0.121
Ni4 Ni 0.879 0.379 0.500
Ni5 Ni 0.379 0.500 0.879
Ni6 Ni 0.500 0.121 0.621
Tl1 Tl 0.000 0.000 0.000
```

Computed properties:
- Formation energy: -0.266 eV per atom
- Crystal system: cubic
- Magnetic moment: 0.0000 μB/atom
- Energy: -5.23 eV per atom

***

Below is a relaxed VCr2B crystal, with properties calculated at the PBE level.

Structure (CIF):
```
data_VCr2B
_chemical_formula_sum 'V2 Cr4 B2'
_symmetry_space_group_name_H-M 'P 1'
_symmetry_Int_Tables_number 1
_symmetry_space_group_name_Hall 'P 1'
_cell_length_a 6.593
_cell_length_b 6.593
_cell_length_c 5.118
_cell_angle_alpha 49.90
_cell_angle_beta 49.90
_cell_angle_gamma 90.00
loop_
_atom_site_label
_atom_site_type_symbol
_atom_site_fract_x
_atom_site_fract_y
_atom_site_fract_z
B1 B 0.250 0.750 0.500
B2 B 0.500 0.500 0.000
Cr1 Cr 0.375 0.464 0.750
Cr2 Cr 0.214 0.625 0.250
Cr3 Cr 0.536 0.125 0.250
Cr4 Cr 0.875 0.786 0.750
V1 V 0.750 0.250 0.500
V2 V 0.000 0.000 0.000
```

Computed properties:
- Formation energy: 0.220 eV per atom
- Crystal system: tetragonal
- Magnetic moment: 0.0000 μB/atom
- Energy: -8.54 eV per atom

***

Below is a relaxed TeRh2O crystal, with properties calculated at the PBE level.

Structure (CIF):
```
data_TeRh2O
_chemical_formula_sum 'Te2 Rh4 O2'
_symmetry_space_group_name_H-M 'P 1'
_symmetry_Int_Tables_number 1
_symmetry_space_group_name_Hall 'P 1'
_cell_length_a 4.817
_cell_length_b 4.817
_cell_length_c 7.027
_cell_angle_alpha 69.96
_cell_angle_beta 69.96
_cell_angle_gamma 90.00
loop_
_atom_site_label
_atom_site_type_symbol
_atom_site_fract_x
_atom_site_fract_y
_atom_site_fract_z
Rh1 Rh 0.375 0.500 0.750
Rh2 Rh 0.250 0.625 0.250
Rh3 Rh 0.875 0.750 0.750
Rh4 Rh 0.500 0.125 0.250
O1 O 0.500 0.500 0.000
O2 O 0.250 0.750 0.500
Te1 Te 0.000 0.000 0.000
Te2 Te 0.750 0.250 0.500
```

Computed properties:
- Crystal system: tetragonal
- Magnetic moment: 0.0000 μB/atom
- Energy relative to the lowest polymorph listed for this composition: 0 meV per atom
- Energy: -5.90 eV per atom

***

Below is a relaxed LaTb2CeSe4 crystal, with properties calculated at the PBE level.

Structure (CIF):
```
data_LaTb2CeSe4
_chemical_formula_sum 'La1 Tb2 Ce1 Se4'
_symmetry_space_group_name_H-M 'P 1'
_symmetry_Int_Tables_number 1
_symmetry_space_group_name_Hall 'P 1'
_cell_length_a 4.141
_cell_length_b 7.220
_cell_length_c 7.301
_cell_angle_alpha 109.02
_cell_angle_beta 90.00
_cell_angle_gamma 90.00
loop_
_atom_site_label
_atom_site_type_symbol
_atom_site_fract_x
_atom_site_fract_y
_atom_site_fract_z
La1 La 0.000 0.000 0.000
Se1 Se 0.000 0.751 0.262
Se2 Se 0.500 0.258 0.265
Se3 Se 0.000 0.249 0.738
Se4 Se 0.500 0.742 0.735
Tb1 Tb 0.500 0.000 0.500
Tb2 Tb 0.000 0.500 0.500
Ce1 Ce 0.500 0.500 0.000
```

Computed properties:
- Crystal system: monoclinic
- Magnetic moment: 0.1344 μB/atom
- Energy: -6.10 eV per atom

***

Below is a relaxed K12Rb6P crystal, with properties calculated at the PBE level.

Structure (CIF):
```
data_K12Rb6P
_chemical_formula_sum 'K12 Rb6 P1'
_symmetry_space_group_name_H-M 'P 1'
_symmetry_Int_Tables_number 1
_symmetry_space_group_name_Hall 'P 1'
_cell_length_a 11.419
_cell_length_b 11.419
_cell_length_c 11.419
_cell_angle_alpha 98.44
_cell_angle_beta 98.44
_cell_angle_gamma 98.44
loop_
_atom_site_label
_atom_site_type_symbol
_atom_site_fract_x
_atom_site_fract_y
_atom_site_fract_z
K1 K 0.411 0.494 0.199
K2 K 0.920 0.724 0.002
K3 K 0.080 0.276 0.998
K4 K 0.506 0.801 0.589
K5 K 0.998 0.080 0.276
K6 K 0.276 0.998 0.080
K7 K 0.724 0.002 0.920
K8 K 0.199 0.411 0.494
K9 K 0.494 0.199 0.411
K10 K 0.589 0.506 0.801
K11 K 0.002 0.920 0.724
K12 K 0.801 0.589 0.506
Rb1 Rb 0.639 0.851 0.242
Rb2 Rb 0.758 0.361 0.149
Rb3 Rb 0.149 0.758 0.361
Rb4 Rb 0.851 0.242 0.639
Rb5 Rb 0.242 0.639 0.851
Rb6 Rb 0.361 0.149 0.758
P1 P 0.000 0.000 0.000
```

Computed properties:
- Formation energy: 0.004 eV per atom
- Crystal system: trigonal
- Magnetic moment: 0.0000 μB/atom
- Energy: -1.28 eV per atom

***

Below is a relaxed Cs2OsI2Br4 crystal, with properties calculated at the PBE level.

Structure (CIF):
```
data_Cs2OsI2Br4
_chemical_formula_sum 'Cs2 Os1 I2 Br4'
_symmetry_space_group_name_H-M 'P 1'
_symmetry_Int_Tables_number 1
_symmetry_space_group_name_Hall 'P 1'
_cell_length_a 7.900
_cell_length_b 7.900
_cell_length_c 7.900
_cell_angle_alpha 92.33
_cell_angle_beta 118.67
_cell_angle_gamma 118.67
loop_
_atom_site_label
_atom_site_type_symbol
_atom_site_fract_x
_atom_site_fract_y
_atom_site_fract_z
I1 I 0.000 0.752 0.752
I2 I 0.000 0.248 0.248
Cs1 Cs 0.500 0.250 0.750
Cs2 Cs 0.500 0.750 0.250
Os1 Os 0.000 0.000 0.000
Br1 Br 0.558 0.779 0.779
Br2 Br 0.000 0.221 0.779
Br3 Br 0.000 0.779 0.221
Br4 Br 0.442 0.221 0.221
```

Computed properties:
- Crystal system: tetragonal
- Magnetic moment: 0.2223 μB/atom
- Energy: -3.35 eV per atom

***

Below is a relaxed PmThTlPd crystal, with properties calculated at the PBE level.

Structure (CIF):
```
data_PmThTlPd
_chemical_formula_sum 'Pm1 Th1 Tl1 Pd1'
_symmetry_space_group_name_H-M 'P 1'
_symmetry_Int_Tables_number 1
_symmetry_space_group_name_Hall 'P 1'
_cell_length_a 5.326
_cell_length_b 5.326
_cell_length_c 5.326
_cell_angle_alpha 60.00
_cell_angle_beta 60.00
_cell_angle_gamma 60.00
loop_
_atom_site_label
_atom_site_type_symbol
_atom_site_fract_x
_atom_site_fract_y
_atom_site_fract_z
Pm1 Pm 0.250 0.250 0.250
Pd1 Pd 0.500 0.500 0.500
Th1 Th 0.750 0.750 0.750
Tl1 Tl 0.000 0.000 0.000
```

Computed properties:
- Formation energy: -0.357 eV per atom
- Crystal system: cubic
- Magnetic moment: 0.0001 μB/atom
- Energy: -5.29 eV per atom

***

Copy entry 6 word for word.
Below is a relaxed K12Rb6P crystal, with properties calculated at the PBE level.

Structure (CIF):
```
data_K12Rb6P
_chemical_formula_sum 'K12 Rb6 P1'
_symmetry_space_group_name_H-M 'P 1'
_symmetry_Int_Tables_number 1
_symmetry_space_group_name_Hall 'P 1'
_cell_length_a 11.419
_cell_length_b 11.419
_cell_length_c 11.419
_cell_angle_alpha 98.44
_cell_angle_beta 98.44
_cell_angle_gamma 98.44
loop_
_atom_site_label
_atom_site_type_symbol
_atom_site_fract_x
_atom_site_fract_y
_atom_site_fract_z
K1 K 0.411 0.494 0.199
K2 K 0.920 0.724 0.002
K3 K 0.080 0.276 0.998
K4 K 0.506 0.801 0.589
K5 K 0.998 0.080 0.276
K6 K 0.276 0.998 0.080
K7 K 0.724 0.002 0.920
K8 K 0.199 0.411 0.494
K9 K 0.494 0.199 0.411
K10 K 0.589 0.506 0.801
K11 K 0.002 0.920 0.724
K12 K 0.801 0.589 0.506
Rb1 Rb 0.639 0.851 0.242
Rb2 Rb 0.758 0.361 0.149
Rb3 Rb 0.149 0.758 0.361
Rb4 Rb 0.851 0.242 0.639
Rb5 Rb 0.242 0.639 0.851
Rb6 Rb 0.361 0.149 0.758
P1 P 0.000 0.000 0.000
```

Computed properties:
- Formation energy: 0.004 eV per atom
- Crystal system: trigonal
- Magnetic moment: 0.0000 μB/atom
- Energy: -1.28 eV per atom

***

> Among the records above, which one has the lowest energy?

VCr2B

***

> Look up the energy of the seventh one.

-3.35 eV per atom

***

Repeat the first record exactly.
Below is a relaxed LaHf3Cr crystal, with properties calculated at the PBE level.

Structure (CIF):
```
data_LaHf3Cr
_chemical_formula_sum 'La1 Hf3 Cr1'
_symmetry_space_group_name_H-M 'P 1'
_symmetry_Int_Tables_number 1
_symmetry_space_group_name_Hall 'P 1'
_cell_length_a 5.079
_cell_length_b 5.079
_cell_length_c 5.079
_cell_angle_alpha 90.00
_cell_angle_beta 90.00
_cell_angle_gamma 90.00
loop_
_atom_site_label
_atom_site_type_symbol
_atom_site_fract_x
_atom_site_fract_y
_atom_site_fract_z
Cr1 Cr 0.500 0.500 0.500
Hf1 Hf 0.500 0.000 0.000
Hf2 Hf 0.000 0.000 0.500
Hf3 Hf 0.000 0.500 0.000
La1 La 0.000 0.000 0.000
```

Computed properties:
- Formation energy: 2.134 eV per atom
- Crystal system: cubic
- Magnetic moment: 0.1327 μB/atom
- Energy relative to the lowest polymorph listed for this composition: 1731 meV per atom
- Energy: -6.75 eV per atom